Record 1
Entry from Alexandria via LeMat-Bulk: an optimized crystal structure of AcVIO4 (GGA+U).

a = 7.216 Å, b = 7.216 Å, c = 6.808 Å
α = 108.99°, β = 108.99°, γ = 53.39°
Fractional positions:
Ac 0.175 0.175 0.274
Ac 0.825 0.825 0.726
V 0.160 0.160 0.760
V 0.840 0.840 0.240
I 0.464 0.464 0.787
I 0.536 0.536 0.213
O 0.037 0.615 0.394
O 0.041 0.041 0.827
O 0.264 0.264 0.002
O 0.385 0.963 0.606
O 0.615 0.037 0.394
O 0.736 0.736 0.998
O 0.959 0.959 0.173
O 0.963 0.385 0.606

Summary:
Total DFT energy (no corrections) = -6.91 eV/atom
Density = 5.875 g cm⁻³
V = 18.93 Å³/atom

=====

Record 2
Entry from Alexandria via LeMat-Bulk: an optimized crystal structure of AcV2IO8 (GGA+U).

a = 8.379 Å, b = 8.379 Å, c = 8.379 Å
α = 35.39°, β = 35.39°, γ = 35.39°
Fractional positions:
Ac 0.000 0.000 0.000
V 0.254 0.254 0.254
V 0.746 0.746 0.746
I 0.500 0.500 0.500
O 0.092 0.425 0.776
O 0.224 0.575 0.908
O 0.327 0.327 0.327
O 0.425 0.776 0.092
O 0.575 0.908 0.224
O 0.673 0.673 0.673
O 0.776 0.092 0.425
O 0.908 0.224 0.575

Summary:
Total DFT energy (no corrections) = -6.63 eV/atom
Density = 5.499 g cm⁻³
V = 14.69 Å³/atom

=====

Among the records above, which one has the lowest V? AcV2IO8

=====

What is the V in the second record? 14.69 Å³/atom

=====

Please write out number 2 again, unchanged.
Entry from Alexandria via LeMat-Bulk: an optimized crystal structure of AcV2IO8 (GGA+U).

a = 8.379 Å, b = 8.379 Å, c = 8.379 Å
α = 35.39°, β = 35.39°, γ = 35.39°
Fractional positions:
Ac 0.000 0.000 0.000
V 0.254 0.254 0.254
V 0.746 0.746 0.746
I 0.500 0.500 0.500
O 0.092 0.425 0.776
O 0.224 0.575 0.908
O 0.327 0.327 0.327
O 0.425 0.776 0.092
O 0.575 0.908 0.224
O 0.673 0.673 0.673
O 0.776 0.092 0.425
O 0.908 0.224 0.575

Summary:
Total DFT energy (no corrections) = -6.63 eV/atom
Density = 5.499 g cm⁻³
V = 14.69 Å³/atom

=====

Among the records above, which one has the highest total DFT energy (no corrections)? AcV2IO8